# 1
VASP calculation (PBE) on YIr3F after structural relaxation.

Summary:
- E_form (uncorrected): 2.13 eV per atom
- Fermi-level density of states: 2.151 states/eV per atom
- Calculated volume: 26.66 A^3/atom
- Energy relative to the lowest polymorph listed for this composition: 1704.0 meV per atom

a b c (Å): 5.108 5.108 5.108
angles (deg): 90.00 90.00 90.00
Fractional positions:
Y  0.000  0.000  0.000
Ir  0.000  0.000  0.500
Ir  0.000  0.500  0.000
Ir  0.500  0.000  0.000
F  0.500  0.500  0.500

# 2
VASP calculation (PBE) on YIrF2 after structural relaxation.

Summary:
- E_form (uncorrected): -1.31 eV per atom
- Fermi-level density of states: 0.441 states/eV per atom
- Calculated volume: 14.77 A^3/atom
- Energy relative to the lowest polymorph listed for this composition: 188.7 meV per atom

a b c (Å): 7.755 7.755 7.755
angles (deg): 22.34 22.34 22.34
Fractional positions:
Y  0.000  0.000  0.000
Ir  0.500  0.500  0.500
F  0.406  0.406  0.406
F  0.594  0.594  0.594

# 3
VASP calculation (PBE) on YIrF2 after structural relaxation.

Summary:
- E_form (uncorrected): -1.50 eV per atom
- Fermi-level density of states: 0.382 states/eV per atom
- Calculated volume: 15.82 A^3/atom
- Energy relative to the lowest polymorph listed for this composition: 0.0 meV per atom

a b c (Å): 8.339 8.339 8.339
angles (deg): 152.13 152.13 39.83
Fractional positions:
Y  0.000  0.000  0.000
Y  0.750  0.250  0.500
Ir  0.250  0.750  0.500
Ir  0.500  0.500  0.000
F  0.118  0.625  0.993
F  0.375  0.368  0.493
F  0.632  0.125  0.007
F  0.875  0.882  0.507

# 4
VASP calculation (PBE) on ZnIrF after structural relaxation.

Summary:
- E_form (uncorrected): -0.73 eV per atom
- Fermi-level density of states: 0.832 states/eV per atom
- Calculated volume: 15.41 A^3/atom

a b c (Å): 14.008 2.761 2.761
angles (deg): 59.97 90.00 90.00
Fractional positions:
Zn  0.000  0.000  0.000
Zn  0.500  0.217  0.217
Ir  0.151  0.333  0.333
Ir  0.849  0.333  0.333
F  0.410  0.883  0.883
F  0.590  0.883  0.883

# 5
VASP calculation (PBE) on ZnIrF3 after structural relaxation.

Summary:
- E_form (uncorrected): -0.62 eV per atom
- Fermi-level density of states: 1.074 states/eV per atom
- Calculated volume: 13.52 A^3/atom
- Energy relative to the lowest polymorph listed for this composition: 0.0 meV per atom

a b c (Å): 4.074 4.074 4.074
angles (deg): 90.00 90.00 90.00
Fractional positions:
Zn  0.000  0.000  0.000
Ir  0.500  0.500  0.500
F  0.000  0.000  0.500
F  0.000  0.500  0.000
F  0.500  0.000  0.000

# 6
VASP calculation (PBE) on ZnIrF2 after structural relaxation.

Summary:
- E_form (uncorrected): -0.10 eV per atom
- Fermi-level density of states: 0.583 states/eV per atom
- Calculated volume: 12.74 A^3/atom
- Energy relative to the lowest polymorph listed for this composition: 300.1 meV per atom

a b c (Å): 4.162 4.162 4.162
angles (deg): 60.00 60.00 60.00
Fractional positions:
Zn  0.000  0.000  0.000
Ir  0.500  0.500  0.500
F  0.250  0.250  0.250
F  0.750  0.750  0.750

# 7
VASP calculation (PBE) on ZnIrF3 after structural relaxation.

Summary:
- E_form (uncorrected): -0.59 eV per atom
- Fermi-level density of states: 1.019 states/eV per atom
- Calculated volume: 15.05 A^3/atom
- Energy relative to the lowest polymorph listed for this composition: 28.6 meV per atom

a b c (Å): 4.222 4.222 4.222
angles (deg): 90.00 90.00 90.00
Fractional positions:
Zn  0.000  0.000  0.000
Ir  0.500  0.500  0.500
F  0.000  0.500  0.500
F  0.500  0.000  0.500
F  0.500  0.500  0.000

# 8
VASP calculation (PBE) on ZnIrF2 after structural relaxation.

Summary:
- E_form (uncorrected): -0.40 eV per atom
- Fermi-level density of states: 0.561 states/eV per atom
- Calculated volume: 12.48 A^3/atom
- Energy relative to the lowest polymorph listed for this composition: 0.0 meV per atom

a b c (Å): 8.172 8.172 8.172
angles (deg): 18.88 18.88 18.88
Fractional positions:
Zn  0.000  0.000  0.000
Ir  0.500  0.500  0.500
F  0.079  0.079  0.079
F  0.921  0.921  0.921